Record 1
First-principles (PBE) data for an optimized crystal structure of ZrCl5, as listed in Alexandria.

Lattice parameters (Å, degrees): 5.079 5.079 7.027 90.00 90.00 120.00
Positions (direct):
Zr 0.000 0.000 0.000
Cl 0.000 0.500 0.500
Cl 0.333 0.667 0.000
Cl 0.500 0.000 0.500
Cl 0.500 0.500 0.500
Cl 0.667 0.333 0.000

Values from the calculation:
density of states at the Fermi level	4.4	states/eV per cell
relative energy among the computed polymorphs	1.049	eV per atom
E_form (uncorrected)	-0.118	eV per atom
energy	-3.081	eV per atom
space group	P6/mmm
M_tot	1.509	μB/cell



Record 2
First-principles (PBE) data for an optimized crystal structure of Zr2Cl, as listed in Alexandria.

Lattice parameters (Å, degrees): 3.334 3.334 6.795 90.00 90.00 120.00
Positions (direct):
Zr 0.333 0.667 0.328
Zr 0.667 0.333 0.672
Cl 0.000 0.000 0.000

Values from the calculation:
density of states at the Fermi level	3.9	states/eV per cell
relative energy among the computed polymorphs	0.116	eV per atom
E_form (uncorrected)	-0.467	eV per atom
energy	-6.781	eV per atom
space group	P-3m1
M_tot	0.004	μB/cell